Entry 1:
{"formula": "CsNaTe2I", "functional": "GGA-PBE", "state": "optimized geometry", "lattice_angstrom": [[-4.327, 3.444, 1.516], [-3.751, -4.131, -1.321], [0.342, -2.280, 6.157]], "species": ["Cs", "I", "Te", "Na", "Te"], "frac_coords": [[0.500, 0.500, 0.500], [0.000, 0.000, 0.500], [0.000, 0.500, 0.000], [0.000, 0.000, 0.000], [0.500, 0.000, 0.000]], "rho_g_cm3": 4.13, "crystal_system": "tetragonal", "e_tot_ha_per_atom": -0.0875, "sg": "P4/mmm (123)"}

***

Entry 2:
{"formula": "Na4Sc3US8", "functional": "GGA-PBE", "state": "optimized geometry", "lattice_angstrom": [[7.652, 0.000, 0.000], [0.000, 7.992, 0.231], [-3.826, -3.822, 5.414]], "species": ["Sc", "Na", "Na", "Sc", "S", "S", "S", "S", "S", "Na", "U", "Sc", "S", "S", "S", "Na"], "frac_coords": [[0.000, 0.500, 0.500], [0.000, 0.000, 0.500], [0.500, 0.000, 0.500], [0.500, 0.500, 0.000], [0.262, 0.285, 0.523], [0.246, 0.721, 0.491], [0.754, 0.279, 0.509], [0.754, 0.279, 0.024], [0.269, 0.279, 0.024], [0.000, 0.000, 0.000], [0.000, 0.500, 0.000], [0.500, 0.500, 0.500], [0.738, 0.715, 0.477], [0.246, 0.721, 0.976], [0.731, 0.721, 0.976], [0.500, 0.000, 0.000]], "rho_g_cm3": 3.55, "crystal_system": "trigonal", "e_tot_ha_per_atom": -0.2174, "sg": "R-3m (166)"}

***

Entry 3:
{"formula": "Mg3Zn4Rh4", "functional": "GGA-PBE", "state": "optimized geometry", "lattice_angstrom": [[2.979, 0.000, -0.687], [-0.689, 7.114, -2.990], [0.395, -0.601, 8.516]], "species": ["Rh", "Zn", "Mg", "Zn", "Rh", "Zn", "Mg", "Mg", "Rh", "Rh", "Zn"], "frac_coords": [[0.256, 0.756, 0.513], [0.664, 0.860, 0.327], [0.000, 0.500, 0.000], [0.664, 0.467, 0.327], [0.500, 0.787, 0.000], [0.336, 0.140, 0.673], [0.901, 0.901, 0.802], [0.099, 0.099, 0.198], [0.500, 0.213, 0.000], [0.744, 0.244, 0.487], [0.336, 0.533, 0.673]], "formation_enthalpy_0k_ev_per_atom": -0.31, "rho_g_cm3": 7.01, "crystal_system": "orthorhombic", "sg": "Immm (71)"}

***

Entry 4:
{"formula": "Tb2PaRu3", "functional": "GGA-PBE", "state": "optimized geometry", "lattice_angstrom": [[4.833, 0.000, 0.000], [-2.416, 4.185, 0.000], [0.000, 0.000, 5.952]], "species": ["Tb", "Ru", "Tb", "Pa", "Ru", "Ru"], "frac_coords": [[0.333, 0.667, 0.657], [0.333, 0.667, 0.145], [0.667, 0.333, 0.343], [0.000, 0.000, 0.000], [0.000, 0.000, 0.500], [0.667, 0.333, 0.855]], "formation_enthalpy_0k_ev_per_atom": -0.44, "rho_g_cm3": 11.75, "crystal_system": "trigonal", "sg": "P-3m1 (164)"}

***

Entry 5:
{"formula": "VHgW2", "functional": "GGA-PBE", "state": "optimized geometry", "lattice_angstrom": [[-2.476, -2.406, -1.669], [2.903, -2.301, -0.992], [-0.759, -7.239, 7.157]], "species": ["W", "W", "Hg", "Hg", "V", "W", "W", "V"], "frac_coords": [[0.375, 0.395, 0.750], [0.605, 0.125, 0.250], [0.000, 0.000, 0.000], [0.750, 0.250, 0.500], [0.250, 0.750, 0.500], [0.145, 0.625, 0.250], [0.875, 0.855, 0.750], [0.500, 0.500, 0.000]], "formation_enthalpy_0k_ev_per_atom": 1.03, "rho_g_cm3": 14.21, "crystal_system": "tetragonal", "sg": "I-42d (122)"}

***

Entry 6:
{"formula": "Ac3RhI", "functional": "GGA-PBE", "state": "optimized geometry", "lattice_angstrom": [[5.881, 0.000, 0.000], [0.000, 5.881, 0.000], [0.000, 0.000, 5.881]], "species": ["I", "Ac", "Rh", "Ac", "Ac"], "frac_coords": [[0.500, 0.500, 0.500], [0.000, 0.000, 0.500], [0.000, 0.000, 0.000], [0.500, 0.000, 0.000], [0.000, 0.500, 0.000]], "rho_g_cm3": 7.43, "crystal_system": "cubic", "e_tot_ha_per_atom": -0.1736, "sg": "Pm-3m (221)"}

***

Entry 7:
{"formula": "BaTlPd2", "functional": "GGA-PBE", "state": "optimized geometry", "lattice_angstrom": [[0.000, 3.661, 3.661], [3.661, 0.000, 3.661], [3.661, 3.661, 0.000]], "species": ["Pd", "Pd", "Tl", "Ba"], "frac_coords": [[0.750, 0.750, 0.750], [0.250, 0.250, 0.250], [0.500, 0.500, 0.500], [0.000, 0.000, 0.000]], "formation_enthalpy_0k_ev_per_atom": -0.26, "rho_g_cm3": 9.39, "crystal_system": "cubic", "sg": "Fm-3m (225)"}

***

Entry 8:
{"formula": "Cd6Hg3Sb", "functional": "GGA-PBE", "state": "optimized geometry", "lattice_angstrom": [[8.426, 0.000, 0.000], [0.000, 7.205, -0.081], [0.000, 1.611, 8.308]], "species": ["Cd", "Sb", "Cd", "Cd", "Cd", "Hg", "Hg", "Cd", "Cd", "Sb", "Cd", "Cd", "Cd", "Hg", "Hg", "Cd", "Cd", "Hg", "Cd", "Hg"], "frac_coords": [[0.852, 0.381, 0.025], [0.500, 0.500, 0.500], [0.755, 0.280, 0.368], [0.148, 0.619, 0.975], [0.182, 0.294, 0.747], [0.895, 0.546, 0.643], [0.000, 0.000, 0.500], [0.352, 0.119, 0.475], [0.255, 0.220, 0.132], [0.000, 0.000, 0.000], [0.245, 0.720, 0.632], [0.745, 0.780, 0.868], [0.318, 0.794, 0.247], [0.395, 0.954, 0.857], [0.500, 0.500, 0.000], [0.648, 0.881, 0.525], [0.682, 0.206, 0.753], [0.605, 0.046, 0.143], [0.818, 0.706, 0.253], [0.105, 0.454, 0.357]], "rho_g_cm3": 9.19, "crystal_system": "monoclinic", "e_tot_ha_per_atom": -0.0367, "sg": "P2_1/c (14)"}